Record 1
The following is a PBE-GGA calculation of a relaxed structure of CoTcH2, from the Alexandria database.

a = 2.717 Å, b = 2.717 Å, c = 4.948 Å
α = 74.06°, β = 74.06°, γ = 60.00°
Fractional positions:
H: 0.266 0.266 0.203
H: 0.065 0.065 0.804
Co: 0.675 0.675 0.976
Tc: 0.494 0.494 0.517

=====

Record 2
The following is a PBE-GGA calculation of a relaxed structure of Co2TcH, from the Alexandria database.

a = 2.549 Å, b = 2.549 Å, c = 6.013 Å
α = 90.00°, β = 90.00°, γ = 90.00°
Each line ends with the local moment (μB).
Fractional positions:
Co: 0.000 0.000 0.191  0.66
Co: 0.000 0.000 0.809  0.66
Tc: 0.500 0.500 0.500  -0.04
H: 0.500 0.500 0.000  0.00

=====

Record 3
The following is a PBE-GGA calculation of a relaxed structure of CoTcH2, from the Alexandria database.

a = 3.554 Å, b = 3.554 Å, c = 3.554 Å
α = 60.00°, β = 60.00°, γ = 60.00°
Each line ends with the local moment (μB).
Fractional positions:
H: 0.750 0.750 0.750  0.00
H: 0.250 0.250 0.250  0.00
Tc: 0.500 0.500 0.500  0.80
Co: 0.000 0.000 0.000  1.42

=====

Record 4
The following is a PBE-GGA calculation of a relaxed structure of CoTc3H, from the Alexandria database.

a = 4.393 Å, b = 4.393 Å, c = 4.393 Å
α = 90.00°, β = 90.00°, γ = 90.00°
Fractional positions:
Tc: 0.000 0.500 0.000
Tc: 0.500 0.000 0.000
Tc: 0.000 0.000 0.500
H: 0.500 0.500 0.500
Co: 0.000 0.000 0.000

=====

Record 5
The following is a PBE-GGA calculation of a relaxed structure of Co2TcH, from the Alexandria database.

a = 3.931 Å, b = 3.931 Å, c = 3.931 Å
α = 60.00°, β = 60.00°, γ = 60.00°
Each line ends with the local moment (μB).
Fractional positions:
Tc: 0.500 0.500 0.500  0.40
Co: 0.250 0.250 0.250  0.82
Co: 0.750 0.750 0.750  0.82
H: 0.000 0.000 0.000  0.00

=====

Record 6
The following is a PBE-GGA calculation of a relaxed structure of Co2TcH, from the Alexandria database.

a = 2.641 Å, b = 2.641 Å, c = 6.486 Å
α = 78.22°, β = 78.22°, γ = 60.10°
Each line ends with the local moment (μB).
Fractional positions:
Tc: 0.500 0.500 0.501  -0.09
H: 0.666 0.666 0.001  -0.01
Co: 0.057 0.057 0.828  1.05
Co: 0.277 0.277 0.170  1.14

=====

Record 7
The following is a PBE-GGA calculation of a relaxed structure of Co2TcH, from the Alexandria database.

a = 2.633 Å, b = 2.633 Å, c = 6.521 Å
α = 78.35°, β = 78.35°, γ = 60.00°
Each line ends with the local moment (μB).
Fractional positions:
H: 0.000 0.000 0.000  -0.01
Co: 0.278 0.278 0.167  1.11
Co: 0.722 0.722 0.833  1.11
Tc: 0.500 0.500 0.500  -0.13

=====

Record 8
The following is a PBE-GGA calculation of a relaxed structure of CoTcH2, from the Alexandria database.

a = 3.940 Å, b = 3.940 Å, c = 4.880 Å
α = 66.19°, β = 66.19°, γ = 90.00°
Fractional positions:
Co: 0.250 0.750 0.500
Co: 0.500 0.500 0.000
H: 0.375 0.424 0.750
H: 0.174 0.625 0.250
H: 0.576 0.125 0.250
H: 0.875 0.826 0.750
Tc: 0.750 0.250 0.500
Tc: 0.000 0.000 0.000

=====

Record 9
The following is a PBE-GGA calculation of a relaxed structure of CoTcH2, from the Alexandria database.

a = 2.758 Å, b = 2.758 Å, c = 4.936 Å
α = 73.78°, β = 73.78°, γ = 60.00°
Fractional positions:
H: 0.129 0.129 0.614
H: 0.871 0.871 0.386
Tc: 0.000 0.000 0.000
Co: 0.500 0.500 0.500

=====

Record 10
The following is a PBE-GGA calculation of a relaxed structure of CoTcH, from the Alexandria database.

a = 4.737 Å, b = 4.327 Å, c = 10.916 Å
α = 90.00°, β = 90.00°, γ = 90.00°
Each line ends with the local moment (μB).
Fractional positions:
Co: 0.920 0.256 0.319  0.40
Co: 0.920 0.244 0.819  0.40
Co: 0.420 0.244 0.681  0.40
Co: 0.080 0.756 0.181  0.40
Co: 0.580 0.756 0.319  0.40
Co: 0.420 0.256 0.181  0.40
Co: 0.580 0.744 0.819  0.40
Co: 0.080 0.744 0.681  0.40
Tc: 0.582 0.753 0.560  -0.04
Tc: 0.918 0.247 0.060  -0.04
Tc: 0.418 0.247 0.440  -0.04
Tc: 0.918 0.253 0.560  -0.04
Tc: 0.082 0.753 0.940  -0.04
Tc: 0.418 0.253 0.940  -0.04
Tc: 0.582 0.747 0.060  -0.04
Tc: 0.082 0.747 0.440  -0.04
H: 0.598 0.383 0.297  0.00
H: 0.598 0.117 0.797  0.00
H: 0.098 0.383 0.203  0.00
H: 0.098 0.117 0.703  0.00
H: 0.402 0.883 0.203  0.00
H: 0.902 0.883 0.297  0.00
H: 0.402 0.617 0.703  0.00
H: 0.902 0.617 0.797  0.00

=====

Record 11
The following is a PBE-GGA calculation of a relaxed structure of Co2TcH, from the Alexandria database.

a = 5.116 Å, b = 5.116 Å, c = 4.704 Å
α = 57.05°, β = 57.05°, γ = 90.00°
Fractional positions:
Co: 0.487 0.125 0.250
Co: 0.263 0.625 0.250
Co: 0.875 0.737 0.750
Co: 0.375 0.513 0.750
H: 0.500 0.500 0.000
H: 0.250 0.750 0.500
Tc: 0.750 0.250 0.500
Tc: 0.000 0.000 0.000

=====

Record 12
The following is a PBE-GGA calculation of a relaxed structure of CoTcH, from the Alexandria database.

a = 2.725 Å, b = 2.723 Å, c = 8.791 Å
α = 81.01°, β = 89.96°, γ = 60.03°
Each line ends with the local moment (μB).
Fractional positions:
H: 0.283 0.306 0.995  -0.01
H: 0.430 0.012 0.438  -0.01
Tc: 0.565 0.743 0.840  -0.03
Tc: 0.148 0.574 0.593  -0.03
Co: 0.985 0.899 0.106  1.49
Co: 0.727 0.418 0.327  1.49

=====

Record 13
The following is a PBE-GGA calculation of a relaxed structure of Ti2CoTcH, from the Alexandria database.

a = 4.249 Å, b = 4.249 Å, c = 3.236 Å
α = 90.00°, β = 90.00°, γ = 90.00°
Fractional positions:
Ti: 0.000 0.500 0.000
Ti: 0.500 0.000 0.000
Co: 0.000 0.000 0.500
H: 0.000 0.000 0.000
Tc: 0.500 0.500 0.500

=====

Record 14
The following is a PBE-GGA calculation of a relaxed structure of Ti2CoTcH, from the Alexandria database.

a = 4.211 Å, b = 4.211 Å, c = 3.389 Å
α = 90.00°, β = 90.00°, γ = 90.00°
Fractional positions:
Co: 0.500 0.500 0.500
H: 0.000 0.000 0.000
Ti: 0.500 0.000 0.000
Ti: 0.000 0.500 0.000
Tc: 0.000 0.000 0.500

=====

Record 15
The following is a PBE-GGA calculation of a relaxed structure of TiCo2TcH, from the Alexandria database.

a = 3.654 Å, b = 3.654 Å, c = 3.893 Å
α = 90.00°, β = 90.00°, γ = 90.00°
Fractional positions:
Co: 0.500 0.000 0.000
Co: 0.000 0.500 0.000
Ti: 0.000 0.000 0.500
H: 0.000 0.000 0.000
Tc: 0.500 0.500 0.500

=====

Record 16
The following is a PBE-GGA calculation of a relaxed structure of TiCo2TcH, from the Alexandria database.

a = 3.679 Å, b = 3.679 Å, c = 3.874 Å
α = 90.00°, β = 90.00°, γ = 90.00°
Fractional positions:
Tc: 0.000 0.000 0.500
Ti: 0.500 0.500 0.500
Co: 0.500 0.000 0.000
Co: 0.000 0.500 0.000
H: 0.000 0.000 0.000

=====

Record 17
The following is a PBE-GGA calculation of a relaxed structure of VCoTc2H, from the Alexandria database.

a = 3.826 Å, b = 3.826 Å, c = 3.774 Å
α = 90.00°, β = 90.00°, γ = 90.00°
Each line ends with the local moment (μB).
Fractional positions:
H: 0.000 0.000 0.000  0.00
V: 0.000 0.000 0.500  -0.06
Tc: 0.000 0.500 0.000  0.02
Tc: 0.500 0.000 0.000  0.02
Co: 0.500 0.500 0.500  0.40

=====

Record 18
The following is a PBE-GGA calculation of a relaxed structure of VCoTc2H, from the Alexandria database.

a = 3.908 Å, b = 3.908 Å, c = 3.592 Å
α = 90.00°, β = 90.00°, γ = 90.00°
Fractional positions:
Co: 0.000 0.000 0.500
Tc: 0.500 0.000 0.000
Tc: 0.000 0.500 0.000
H: 0.000 0.000 0.000
V: 0.500 0.500 0.500

=====

Record 19
The following is a PBE-GGA calculation of a relaxed structure of CoTcHW2, from the Alexandria database.

a = 3.951 Å, b = 3.951 Å, c = 3.831 Å
α = 90.00°, β = 90.00°, γ = 90.00°
Fractional positions:
W: 0.000 0.500 0.000
W: 0.500 0.000 0.000
Tc: 0.000 0.000 0.500
H: 0.000 0.000 0.000
Co: 0.500 0.500 0.500

=====

Record 20
The following is a PBE-GGA calculation of a relaxed structure of CoTcHW2, from the Alexandria database.

a = 4.003 Å, b = 4.003 Å, c = 3.695 Å
α = 90.00°, β = 90.00°, γ = 90.00°
Fractional positions:
W: 0.500 0.000 0.000
W: 0.000 0.500 0.000
Tc: 0.500 0.500 0.500
Co: 0.000 0.000 0.500
H: 0.000 0.000 0.000

=====

Record 21
The following is a PBE-GGA calculation of a relaxed structure of CoTc2HW, from the Alexandria database.

a = 3.941 Å, b = 3.941 Å, c = 3.700 Å
α = 90.00°, β = 90.00°, γ = 90.00°
Fractional positions:
Co: 0.000 0.000 0.500
Tc: 0.000 0.500 0.000
Tc: 0.500 0.000 0.000
W: 0.500 0.500 0.500
H: 0.000 0.000 0.000

=====

Record 22
The following is a PBE-GGA calculation of a relaxed structure of CoTc2HW, from the Alexandria database.

a = 3.840 Å, b = 3.840 Å, c = 3.941 Å
α = 90.00°, β = 90.00°, γ = 90.00°
Fractional positions:
Tc: 0.000 0.500 0.000
Tc: 0.500 0.000 0.000
W: 0.000 0.000 0.500
H: 0.000 0.000 0.000
Co: 0.500 0.500 0.500

=====

Record 23
The following is a PBE-GGA calculation of a relaxed structure of ZnCoTc2H, from the Alexandria database.

a = 3.828 Å, b = 3.828 Å, c = 3.834 Å
α = 90.00°, β = 90.00°, γ = 90.00°
Each line ends with the local moment (μB).
Fractional positions:
Zn: 0.500 0.500 0.500  -0.01
Co: 0.000 0.000 0.500  0.84
H: 0.000 0.000 0.000  0.00
Tc: 0.000 0.500 0.000  0.18
Tc: 0.500 0.000 0.000  0.18

=====

Record 24
The following is a PBE-GGA calculation of a relaxed structure of Zn2CoTcH, from the Alexandria database.

a = 3.906 Å, b = 3.721 Å, c = 3.906 Å
α = 90.00°, β = 90.00°, γ = 90.00°
Each line ends with the local moment (μB).
Fractional positions:
Tc: 0.000 0.500 0.000  0.92
Zn: 0.500 0.000 0.000  -0.02
Zn: 0.000 0.000 0.500  -0.03
H: 0.000 0.000 0.000  -0.01
Co: 0.500 0.500 0.500  1.52

=====

Record 25
The following is a PBE-GGA calculation of a relaxed structure of ZrCoTc2H, from the Alexandria database.

a = 3.973 Å, b = 3.973 Å, c = 3.968 Å
α = 90.00°, β = 90.00°, γ = 90.00°
Each line ends with the local moment (μB).
Fractional positions:
Co: 0.000 0.000 0.500  0.44
Tc: 0.500 0.000 0.000  0.02
Tc: 0.000 0.500 0.000  0.02
H: 0.000 0.000 0.000  0.00
Zr: 0.500 0.500 0.500  -0.02

=====

Record 26
The following is a PBE-GGA calculation of a relaxed structure of Zr2CoTcH, from the Alexandria database.

a = 4.539 Å, b = 4.539 Å, c = 3.493 Å
α = 90.00°, β = 90.00°, γ = 90.00°
Fractional positions:
Zr: 0.500 0.000 0.000
Zr: 0.000 0.500 0.000
Tc: 0.000 0.000 0.500
H: 0.000 0.000 0.000
Co: 0.500 0.500 0.500

=====

Record 27
The following is a PBE-GGA calculation of a relaxed structure of Zr2CoTcH, from the Alexandria database.

a = 5.040 Å, b = 4.258 Å, c = 5.040 Å
α = 90.00°, β = 90.00°, γ = 90.00°
Fractional positions:
Tc: 0.000 0.000 0.000
Zr: 0.500 0.000 0.000
Zr: 0.000 0.000 0.500
H: 0.500 0.500 0.500
Co: 0.000 0.500 0.000

=====

Record 28
The following is a PBE-GGA calculation of a relaxed structure of ZrCo2TcH, from the Alexandria database.

a = 3.838 Å, b = 3.838 Å, c = 3.933 Å
α = 90.00°, β = 90.00°, γ = 90.00°
Fractional positions:
Co: 0.500 0.000 0.000
Co: 0.000 0.500 0.000
Tc: 0.000 0.000 0.500
Zr: 0.500 0.500 0.500
H: 0.000 0.000 0.000

=====

Number 1: calculated total energy -23.49 eV per cell. Number 2: calculated total energy -26.78 eV per cell. Number 3: calculated total energy -21.76 eV per cell. Number 4: calculated total energy -31.05 eV per cell. Number 5: calculated total energy -24.89 eV per cell. Number 6: calculated total energy -27.77 eV per cell. Number 7: calculated total energy -27.75 eV per cell. Number 8: calculated total energy -47.18 eV per cell. Number 9: calculated total energy -23.47 eV per cell. Number 10: calculated total energy -164.68 eV per cell. Number 11: calculated total energy -53.24 eV per cell. Number 12: calculated total energy -41.36 eV per cell. Number 13: calculated total energy -38.84 eV per cell. Number 14: calculated total energy -38.00 eV per cell. Number 15: calculated total energy -36.76 eV per cell. Number 16: calculated total energy -36.69 eV per cell. Number 17: calculated total energy -40.35 eV per cell. Number 18: calculated total energy -40.49 eV per cell. Number 19: calculated total energy -45.93 eV per cell. Number 20: calculated total energy -46.27 eV per cell. Number 21: calculated total energy -44.12 eV per cell. Number 22: calculated total energy -43.61 eV per cell. Number 23: calculated total energy -31.50 eV per cell. Number 24: calculated total energy -22.23 eV per cell. Number 25: calculated total energy -39.85 eV per cell. Number 26: calculated total energy -39.17 eV per cell. Number 27: calculated total energy -32.24 eV per cell. Number 28: calculated total energy -36.91 eV per cell.